No. 1
La2MnBi: optimized geometry, GGA-PBE.

Results
- energy of formation from the pure elements (meV/atom) = 7
- size of the total moment (μB/atom) = 0.68

Lattice parameters (Å, degrees): 6.8590 6.8590 6.8590 103.73 103.73 121.70
Atoms (fractional coordinates):
La 0.0898 0.6250 0.9648
La 0.3750 0.3398 0.4648
La 0.6602 0.1250 0.0352
La 0.8750 0.9102 0.5352
Mn 0.0000 0.0000 0.0000
Mn 0.7500 0.2500 0.5000
Bi 0.2500 0.7500 0.5000
Bi 0.5000 0.5000 0.0000

***

No. 2
La3MnBi: optimized geometry, GGA-PBE.

Results
- energy of formation from the pure elements (meV/atom) = -340
- size of the total moment (μB/atom) = 0.06

Lattice parameters (Å, degrees): 5.2821 5.2821 5.2821 90.00 90.00 90.00
Atoms (fractional coordinates):
La 0.0000 0.0000 0.5000
La 0.0000 0.5000 0.0000
La 0.5000 0.0000 0.0000
Mn 0.0000 0.0000 0.0000
Bi 0.5000 0.5000 0.5000

***

No. 3
LaMnBi3: optimized geometry, GGA-PBE.

Results
- energy of formation from the pure elements (meV/atom) = 882
- excess energy over the best structure of this formula in the dataset (meV/atom) = 739
- size of the total moment (μB/atom) = 0.99

Lattice parameters (Å, degrees): 6.1298 6.1298 6.1298 90.00 90.00 90.00
Atoms (fractional coordinates):
La 0.0000 0.0000 0.0000
Mn 0.5000 0.5000 0.5000
Bi 0.0000 0.0000 0.5000
Bi 0.0000 0.5000 0.0000
Bi 0.5000 0.0000 0.0000

***

No. 4
LaMn3Bi: optimized geometry, GGA-PBE.

Results
- energy of formation from the pure elements (meV/atom) = 1378
- excess energy over the best structure of this formula in the dataset (meV/atom) = 538
- size of the total moment (μB/atom) = 1.97

Lattice parameters (Å, degrees): 4.9400 4.9400 4.9400 90.00 90.00 90.00
Atoms (fractional coordinates):
La 0.0000 0.0000 0.0000
Mn 0.0000 0.0000 0.5000
Mn 0.0000 0.5000 0.0000
Mn 0.5000 0.0000 0.0000
Bi 0.5000 0.5000 0.5000